meta-GGA SCAN Mn2SiNi, single point on PBEsol structure; formation energy without anion corrections = -34 kJ/mol of atoms; size of the total moment = 5.888 μB/f.u.; space group = Cmmm, No. 65; electronic total energy = -64.1 eV for the cell shown; ρ = 7.452 Mg/m³
1.0
-2.3952 -0.9219 0.0935
1.4437 -3.8564 -1.0412
0.0172 0.3842 4.2300
Mn Ni Si
2 1 1
Cartesian
0.0086 0.1921 2.1150
0.7219 -1.9282 -0.5206
-0.4672 -2.1971 1.6411
-1.1976 -0.4610 0.0467